Compound: Zn2CdIn2
Source: Alexandria
Functional: PBE
Structure: optimized geometry

## Properties
offset from the most stable computed form: 75 meV per atom
DOS(E_F): 0.42 states/eV per atom

The structure in extended XYZ format:
```
10
Lattice="4.2646 0.0000 0.0000 0.0000 4.2646 0.0000 0.0000 0.0000 12.6699" Properties=species:S:1:pos:R:3 pbc="T T T"
Zn 0.0000 0.0000 1.2102
Zn 0.0000 0.0000 11.4597
Zn 2.1323 2.1323 5.1248
Zn 2.1323 2.1323 7.5451
Cd 0.0000 0.0000 6.3350
Cd 2.1323 2.1323 0.0000
In 0.0000 2.1323 3.1675
In 0.0000 2.1323 9.5024
In 2.1323 0.0000 3.1675
In 2.1323 0.0000 9.5024
```